VASP calculation (PBE-GGA) on a geometry-optimized ZnCrCo2 structure.

The value obtained for the volume is 94.1 Å³ per cell. The calculation puts the uncorrected energy at -49.35 eV per cell.

The structure belongs to space group Cmmm (No. 65); the cell edges are 2.8872, 4.0283 and 8.0865 Å and the angles 90.00°, 90.00° and 90.00°. The inequivalent atoms are Zn at (0.0000, 0.0000, 0.0000), Cr at (0.0000, 0.0000, 0.5000) and Co at (0.0000, 0.5000, 0.2601).

=====

VASP calculation (PBE-GGA) on a geometry-optimized ZnCr2Co structure.

The value obtained for the volume is 93.5 Å³ per cell. The calculation puts the uncorrected energy at -53.67 eV per cell.

The structure belongs to space group Cmmm (No. 65); the cell edges are 4.8334, 7.8487 and 2.4657 Å and the angles 90.00°, 90.00° and 90.00°. The inequivalent atoms are Zn at (0.0000, 0.0000, 0.0000), Cr at (0.2500, 0.2500, 0.5000) and Co at (0.0000, 0.5000, 0.0000).

=====

VASP calculation (PBE-GGA) on a geometry-optimized ZnCr2Co structure.

The value obtained for the volume is 47.3 Å³ per cell. The calculation puts the uncorrected energy at -27.13 eV per cell.

The structure belongs to space group P4mm (No. 99); the cell edges are 2.5134, 2.5134 and 7.4934 Å and the angles 90.00°, 90.00° and 90.00°. The inequivalent atoms are Zn at (0.0000, 0.0000, 0.0000), Cr at (0.0000, 0.0000, 0.4620), Cr at (0.5000, 0.5000, 0.7289) and Co at (0.5000, 0.5000, 0.2490).